No. 1
! TeOs2Pt PBE-GGA optimized geometry; values from VASP
&SYSTEM
  ibrav = 0, nat = 4, ntyp = 3
/
ATOMIC_SPECIES
Os 190.23 Os.upf
Te 127.60 Te.upf
Pt 195.08 Pt.upf
CELL_PARAMETERS angstrom
4.7096 0.0000 0.0000
0.0000 3.9337 0.0170
0.0000 0.2843 4.0062
ATOMIC_POSITIONS crystal
Os 0.0000 0.0726 0.0018
Te 0.5000 0.7500 0.7500
Os 0.0000 0.4274 0.4982
Pt 0.5000 0.2500 0.2500
! **Raw formation energy**: 0.656 eV/atom

=====

No. 2
! NaCa2TlH PBE-GGA optimized geometry; values from VASP
&SYSTEM
  ibrav = 0, nat = 5, ntyp = 4
/
ATOMIC_SPECIES
Ca 40.08 Ca.upf
Na 22.99 Na.upf
Tl 204.38 Tl.upf
H 1.01 H.upf
CELL_PARAMETERS angstrom
-3.9160 -3.0572 -0.8985
0.7049 -2.2194 4.4795
-3.1094 3.3511 2.1497
ATOMIC_POSITIONS crystal
Ca 0.5000 0.0000 0.0000
Na 0.5000 0.5000 0.5000
Tl 0.0000 0.0000 0.5000
H 0.0000 0.0000 0.0000
Ca 0.0000 0.5000 0.0000
! **Polymorph energy (0 for the lowest one)**: 180 meV per atom

=====

Question: Which formula does entry 2 have?
Answer: NaCa2TlH